VASP calculation (PBE with a Hubbard U) on a geometry-optimized CaNi2O4 structure.

Cell: 7.2429 7.2429 8.7987 Å, 62.09 62.09 23.71°
Last column: magnetic moment on the atom in μB.
Atoms (fractional coordinates):
Ca 0.6144 0.6144 0.8528  0.01
Ca 0.3922 0.3922 0.1701  0.01
Ni 0.4221 0.4221 0.7872  1.51
Ni 0.8371 0.8371 0.5330  1.18
Ni 0.1694 0.1694 0.4898  1.18
Ni 0.5845 0.5845 0.2356  1.51
O 0.1448 0.1448 0.2983  -0.23
O 0.5772 0.5772 0.6152  -0.18
O 0.4294 0.4294 0.4076  -0.18
O 0.8617 0.8617 0.7246  -0.23
O 0.9460 0.9460 0.9259  -0.12
O 0.2277 0.2277 0.6505  -0.10
O 0.0606 0.0606 0.0969  -0.12
O 0.7789 0.7789 0.3723  -0.10

Computed properties:
VASP energy = -0.1883 Ha/atom
polymorph energy (0 for the lowest one) = 0.126 eV/atom
D(E_F) = 0.35 states/eV per atom
calculated volume = 11.641 Å³/atom